BaLiCoP after structural relaxation. Source: Alexandria via LeMat-Bulk, functional PBE.

Cell and atoms, written as POSCAR:
```
BaLiCoP
1.0
3.887 0.000 0.000
0.000 3.887 0.000
0.000 0.000 12.565
P Ba Co Li
2 2 2 2
Direct
0.250 0.250 0.089 P
0.750 0.750 0.911 P
0.750 0.750 0.227 Ba
0.250 0.250 0.773 Ba
0.250 0.750 0.000 Co
0.750 0.250 0.000 Co
0.250 0.750 0.500 Li
0.750 0.250 0.500 Li
```

Density of states at the Fermi level in states/eV per cell: 4.64
E_form in eV/atom: -0.53



BaLi2CoSi after structural relaxation. Source: Alexandria via LeMat-Bulk, functional PBE.

Cell and atoms, written as POSCAR:
```
BaLi2CoSi
1.0
4.898 0.000 0.000
0.000 4.898 0.000
0.000 0.000 4.416
Ba Si Li Co
1 1 2 1
Direct
0.500 0.500 0.500 Ba
0.000 0.000 0.500 Si
0.500 0.000 0.000 Li
0.000 0.500 0.000 Li
0.000 0.000 0.000 Co
```

Density of states at the Fermi level in states/eV per cell: 1.86
Formation energy from raw total energies in eV per atom: -0.07



BaLi2CoSn after structural relaxation. Source: Alexandria via LeMat-Bulk, functional PBE.

Cell and atoms, written as POSCAR:
```
BaLi2CoSn
1.0
5.044 0.000 0.000
0.000 4.874 0.000
0.000 0.000 5.044
Ba Li Co Sn
1 2 1 1
Direct
0.500 0.500 0.500 Ba
0.000 0.000 0.500 Li
0.500 0.000 0.000 Li
0.000 0.000 0.000 Co
0.000 0.500 0.000 Sn
```

Density of states at the Fermi level in states/eV per cell: 2.43
E_form in eV/atom: -0.06



Ba2LiCoTe after structural relaxation. Source: Alexandria via LeMat-Bulk, functional PBE.

Cell and atoms, written as POSCAR:
```
Ba2LiCoTe
1.0
5.761 0.000 0.000
0.000 5.761 0.000
0.000 0.000 4.800
Ba Te Co Li
2 1 1 1
Direct
0.000 0.500 0.000 Ba
0.500 0.000 0.000 Ba
0.500 0.500 0.500 Te
0.000 0.000 0.000 Co
0.000 0.000 0.500 Li
```

Density of states at the Fermi level in states/eV per cell: 1.41
Formation energy from raw total energies in eV per atom: -0.30



BaLi2VCo after structural relaxation. Source: Alexandria via LeMat-Bulk, functional PBE.

Cell and atoms, written as POSCAR:
```
BaLi2VCo
1.0
4.888 0.000 0.000
0.000 5.068 0.000
0.000 0.000 4.888
Co Li Ba V
1 2 1 1
Direct
0.500 0.500 0.500 Co
0.000 0.000 0.500 Li
0.500 0.000 0.000 Li
0.000 0.000 0.000 Ba
0.000 0.500 0.000 V
```

Density of states at the Fermi level in states/eV per cell: 5.60
E_form in eV/atom: 1.90



BaLiY2Co after structural relaxation. Source: Alexandria via LeMat-Bulk, functional PBE.

Cell and atoms, written as POSCAR:
```
BaLiY2Co
1.0
5.177 0.000 0.000
0.000 5.177 0.000
0.000 0.000 5.674
Co Ba Li Y
1 1 1 2
Direct
0.000 0.000 0.000 Co
0.500 0.500 0.500 Ba
0.000 0.000 0.500 Li
0.000 0.500 0.000 Y
0.500 0.000 0.000 Y
```

Density of states at the Fermi level in states/eV per cell: 4.01
E_form in eV/atom: 0.11



Uncorrected energy in eV/cell, matching the order above: -36.94, -18.65, -17.13, -17.52, -12.47, -23.34